#one
Here is a relaxed MnTcPt crystal from Alexandria. Energies are from PBE.

It has space group P-6m2 (No. 187), with a = 4.3320 Å, b = 4.3320 Å, c = 2.6417 Å, α = 90.00°, β = 90.00° and γ = 120.00°. Symmetry generates all atoms from Mn at (0.0000, 0.0000, 0.0000), Tc at (0.6667, 0.3333, 0.5000) and Pt at (0.3333, 0.6667, 0.0000).

The value obtained for the magnetization is 2.367 μB/f.u.

---

#two
Here is a relaxed MnTcPt crystal from Alexandria. Energies are from PBE.

It has space group Imm2 (No. 44), with a = 2.7073 Å, b = 3.7829 Å, c = 8.2887 Å, α = 90.00°, β = 90.00° and γ = 90.00°. Symmetry generates all atoms from Mn at (0.0000, 0.0000, 0.0000), Tc at (0.0000, 0.0000, 0.3502) and Pt at (0.0000, 0.0000, 0.6727).

The value obtained for the magnetization is 1.868 μB/f.u.

---

#three
Here is a relaxed MnTcPt crystal from Alexandria. Energies are from PBE.

It has space group I4mm (No. 107), with a = 2.7055 Å, b = 2.7055 Å, c = 11.4079 Å, α = 90.00°, β = 90.00° and γ = 90.00°. Symmetry generates all atoms from Mn at (0.0000, 0.0000, 0.0000), Tc at (0.0000, 0.0000, 0.6519) and Pt at (0.0000, 0.0000, 0.3322).

The value obtained for the magnetization is 1.058 μB/f.u.

---

#four
Here is a relaxed MnTcPt crystal from Alexandria. Energies are from PBE.

It has space group P3m1 (No. 156), with a = 2.7030 Å, b = 2.7030 Å, c = 6.5437 Å, α = 90.00°, β = 90.00° and γ = 120.00°. Symmetry generates all atoms from Mn at (0.0000, 0.0000, 0.0000), Tc at (0.3333, 0.6667, 0.6985) and Pt at (0.6667, 0.3333, 0.3340).

The value obtained for the magnetization is 0.000 μB/f.u.

---

What is the most stable structure shown above? It is #two.